First-principles (meta-GGA SCAN) data for ZrTl2Os at its PBEsol-relaxed geometry, as listed in the Alexandria database.

a b c (Å): 4.3475 4.3475 8.2776
angles (deg): 90.00 90.00 90.00
With the nearest neighbours (Å) after each atom.
Space group I-4m2 (No. 119)
Unique sites:
Zr: 0.0000 0.0000 0.0000 [2 per cell]  8 Tl 3.00-3.07, 4 Os 3.00
Tl: 0.0000 0.0000 0.5000 [2 per cell]  4 Tl 3.00, 4 Os 3.00, 4 Zr 3.07
Tl: 0.0000 0.5000 0.7500 [2 per cell]  4 Zr 3.00, 4 Tl 3.00, 4 Os 3.07
Os: 0.0000 0.5000 0.2500 [2 per cell]  4 Zr 3.00, 8 Tl 3.00-3.07

Output
ΔH_f (0 K) = 0.379 eV/atom
E = -61.445 eV per atom
energy above the lowest structure with this stoichiometry = 0.3134 eV per atom
N(E_F) = 3.8 states/eV per cell
V = 156.5 Å³ per cell